No. 1
Crystalline RbCd3In2 at its relaxed geometry, computed with PBE.

a b c (Å): 7.605 7.605 6.456
angles (deg): 90.00 90.00 78.42
Atoms (fractional coordinates):
Rb1 0.168 0.832 0.750
Rb2 0.832 0.168 0.250
Cd1 0.048 0.621 0.250
Cd2 0.379 0.952 0.250
Cd3 0.435 0.565 0.250
Cd4 0.565 0.435 0.750
Cd5 0.621 0.048 0.750
Cd6 0.952 0.379 0.750
In1 0.286 0.286 0.000
In2 0.286 0.286 0.500
In3 0.714 0.714 0.000
In4 0.714 0.714 0.500

Results
The density of states at the Fermi level is 2.4 states/eV/f.u. The offset from the most stable computed form is 4 meV/atom.

No. 2
Crystalline RbCd6In3 at its relaxed geometry, computed with PBE.

a b c (Å): 8.031 7.995 10.004
angles (deg): 90.00 121.14 90.00
Atoms (fractional coordinates):
Rb1 0.000 0.000 0.000
Rb2 0.000 0.500 0.500
Cd1 0.136 0.048 0.670
Cd2 0.136 0.452 0.170
Cd3 0.215 0.719 0.855
Cd4 0.215 0.781 0.355
Cd5 0.480 0.719 0.218
Cd6 0.480 0.781 0.718
Cd7 0.520 0.219 0.282
Cd8 0.520 0.281 0.782
Cd9 0.785 0.219 0.645
Cd10 0.785 0.281 0.145
Cd11 0.864 0.548 0.830
Cd12 0.864 0.952 0.330
In1 0.271 0.144 0.436
In2 0.271 0.356 0.936
In3 0.500 0.000 0.000
In4 0.500 0.500 0.500
In5 0.729 0.644 0.064
In6 0.729 0.856 0.564

Results
The density of states at the Fermi level is 3.5 states/eV/f.u.

No. 3
Crystalline RbCd10In at its relaxed geometry, computed with PBE.

a b c (Å): 4.841 6.343 10.620
angles (deg): 90.00 90.00 90.00
Atoms (fractional coordinates):
Rb1 0.000 0.000 0.000
Cd1 0.000 0.000 0.345
Cd2 0.000 0.000 0.655
Cd3 0.000 0.500 0.183
Cd4 0.000 0.500 0.817
Cd5 0.500 0.000 0.500
Cd6 0.500 0.252 0.257
Cd7 0.500 0.252 0.743
Cd8 0.500 0.500 0.000
Cd9 0.500 0.748 0.257
Cd10 0.500 0.748 0.743
In1 0.000 0.500 0.500

Results
The density of states at the Fermi level is 4.4 states/eV/f.u.

no.,uncorrected energy (Ry per atom),DFT formation energy (eV per atom)
1,-0.1166,-0.054
2,-0.1081,-0.003
3,-0.0774,0.019